VASP calculation (PBE) on AcTb2PrDy after structural relaxation.

The structure in CIF format:
```
data_AcTb2PrDy
_chemical_formula_sum 'Ac4 Tb8 Pr4 Dy4'
_cell_length_a 6.519
_cell_length_b 17.615
_cell_length_c 6.521
_cell_angle_alpha 90.00
_cell_angle_beta 90.00
_cell_angle_gamma 90.00
_symmetry_space_group_name_H-M 'C m c m'
_symmetry_Int_Tables_number 63
_symmetry_space_group_name_Hall '-C 2c 2'
loop_
_atom_site_label
_atom_site_fract_x
_atom_site_fract_y
_atom_site_fract_z
_atom_site_occupancy
Ac1 0.000 0.159 0.250 1
Tb1 0.249 0.500 0.000 1
Pr1 0.000 0.347 0.250 1
Dy1 0.000 0.249 0.750 1
```

## Properties
Volume = 187.19 Å³/f.u.
ΔH_f (0 K) = 0.3789 eV per atom

VASP calculation (PBE) on AcTb6Pr3Dy2 after structural relaxation.

The structure in CIF format:
```
data_AcTb6Pr3Dy2
_chemical_formula_sum 'Ac2 Tb12 Pr6 Dy4'
_cell_length_a 6.294
_cell_length_b 10.899
_cell_length_c 12.007
_cell_angle_alpha 90.00
_cell_angle_beta 100.03
_cell_angle_gamma 90.00
_symmetry_space_group_name_H-M 'C 1 2/m 1'
_symmetry_Int_Tables_number 12
_symmetry_space_group_name_Hall '-C 2y'
loop_
_atom_site_label
_atom_site_fract_x
_atom_site_fract_y
_atom_site_fract_z
_atom_site_occupancy
Ac1 0.000 0.000 0.000 1
Tb1 0.247 0.500 0.250 1
Tb2 0.248 0.332 0.750 1
Pr1 0.000 0.167 0.500 1
Pr2 0.000 0.500 0.500 1
Dy1 0.000 0.333 0.000 1
```

## Properties
Volume = 405.56 Å³/f.u.
ΔH_f (0 K) = 0.0249 eV per atom

VASP calculation (PBE) on AcTb2PrDy4 after structural relaxation.

The structure in CIF format:
```
data_AcTb2PrDy4
_chemical_formula_sum 'Ac4 Tb8 Pr4 Dy16'
_cell_length_a 13.823
_cell_length_b 13.458
_cell_length_c 6.933
_cell_angle_alpha 90.00
_cell_angle_beta 120.10
_cell_angle_gamma 90.00
_symmetry_space_group_name_H-M 'C 1 2/c 1'
_symmetry_Int_Tables_number 15
_symmetry_space_group_name_Hall '-C 2yc'
loop_
_atom_site_label
_atom_site_fract_x
_atom_site_fract_y
_atom_site_fract_z
_atom_site_occupancy
Ac1 0.250 0.250 0.000 1
Tb1 0.000 0.000 0.000 1
Tb2 0.250 0.250 0.500 1
Pr1 0.000 0.500 0.000 1
Dy1 0.000 0.246 0.013 1
Dy2 0.245 0.009 0.494 1
```

## Properties
Volume = 278.96 Å³/f.u.
ΔH_f (0 K) = 0.4339 eV per atom

VASP calculation (PBE) on AcTb5PrDy2 after structural relaxation.

The structure in CIF format:
```
data_AcTb5PrDy2
_chemical_formula_sum 'Ac4 Tb20 Pr4 Dy8'
_cell_length_a 8.878
_cell_length_b 8.878
_cell_length_c 15.647
_cell_angle_alpha 90.00
_cell_angle_beta 90.00
_cell_angle_gamma 90.00
_symmetry_space_group_name_H-M 'I 4/m c m'
_symmetry_Int_Tables_number 140
_symmetry_space_group_name_Hall '-I 4 2c'
loop_
_atom_site_label
_atom_site_fract_x
_atom_site_fract_y
_atom_site_fract_z
_atom_site_occupancy
Ac1 0.000 0.000 0.250 1
Tb1 0.000 0.000 0.000 1
Tb2 0.199 0.301 0.127 1
Pr1 0.000 0.500 0.250 1
Dy1 0.117 0.383 0.500 1
```

## Properties
Volume = 308.33 Å³/f.u.
ΔH_f (0 K) = 0.2639 eV per atom

VASP calculation (PBE) on Ac2Tb5PrDy after structural relaxation.

The structure in CIF format:
```
data_Ac2Tb5PrDy
_chemical_formula_sum 'Ac8 Tb20 Pr4 Dy4'
_cell_length_a 5.809
_cell_length_b 20.167
_cell_length_c 10.957
_cell_angle_alpha 90.00
_cell_angle_beta 90.00
_cell_angle_gamma 90.00
_symmetry_space_group_name_H-M 'C m c 21'
_symmetry_Int_Tables_number 36
_symmetry_space_group_name_Hall 'C 2c -2'
loop_
_atom_site_label
_atom_site_fract_x
_atom_site_fract_y
_atom_site_fract_z
_atom_site_occupancy
Ac1 0.000 0.113 0.000 1
Ac2 0.000 0.116 0.589 1
Tb1 0.000 0.020 0.295 1
Tb2 0.000 0.284 0.578 1
Tb3 0.000 0.297 0.976 1
Tb4 0.000 0.390 0.290 1
Tb5 0.000 0.481 0.008 1
Pr1 0.000 0.415 0.731 1
Dy1 0.000 0.206 0.280 1
```

## Properties
Volume = 320.93 Å³/f.u.
ΔH_f (0 K) = 0.1551 eV per atom

VASP calculation (PBE) on AcTbPrDy2 after structural relaxation.

The structure in CIF format:
```
data_AcTbPrDy2
_chemical_formula_sum 'Ac4 Tb4 Pr4 Dy8'
_cell_length_a 6.483
_cell_length_b 17.526
_cell_length_c 6.554
_cell_angle_alpha 90.00
_cell_angle_beta 90.00
_cell_angle_gamma 90.00
_symmetry_space_group_name_H-M 'C m c m'
_symmetry_Int_Tables_number 63
_symmetry_space_group_name_Hall '-C 2c 2'
loop_
_atom_site_label
_atom_site_fract_x
_atom_site_fract_y
_atom_site_fract_z
_atom_site_occupancy
Ac1 0.000 0.158 0.250 1
Tb1 0.000 0.228 0.750 1
Pr1 0.000 0.347 0.250 1
Dy1 0.248 0.000 0.000 1
```

## Properties
Volume = 186.18 Å³/f.u.
ΔH_f (0 K) = 0.3741 eV per atom